First-principles (GGA+U) data for a geometry-optimized CaCoI2O structure, as listed in the Alexandria database.

Lattice parameters (Å, degrees): 5.7730 5.7730 3.7390 90.00 90.00 90.00
With the nearest neighbours (Å) after each atom.
Element x y z (fractional)
I: 0.5000 0.0000 0.0000  2 Co 2.89
I: 0.0000 0.5000 0.0000  2 Co 2.89
Ca: 0.5000 0.5000 0.5000  8 I 3.44, 2 Ca 3.74
O: 0.0000 0.0000 0.5000  2 Co 1.87
Co: 0.0000 0.0000 0.0000  2 O 1.87

- excess energy over the best structure of this formula in the dataset (eV per atom) = 0.000
- total magnetic moment (μB/f.u.) = 3.2
- DOS(E_F) (states/eV per atom) = 0.150